(1)
Here is an optimized crystal structure of Cs12Au from Alexandria via LeMat-Bulk. Energies are from GGA-PBE.

Cell: 11.813 11.813 11.813 Å, 109.47 109.47 109.47°
Element x y z (fractional)
Cs 0.872 0.172 0.700
Cs 0.700 0.872 0.172
Cs 0.300 0.128 0.828
Cs 0.528 0.828 0.700
Cs 0.172 0.300 0.472
Cs 0.128 0.828 0.300
Cs 0.300 0.472 0.172
Cs 0.700 0.528 0.828
Cs 0.172 0.700 0.872
Cs 0.828 0.300 0.128
Cs 0.472 0.172 0.300
Cs 0.828 0.700 0.528
Au 0.000 0.000 0.000

Calculated values
Energy of formation in eV per atom: 0.025
DOS at the Fermi energy in states/eV per atom: 0.97
Symmetry: Im-3



(2)
Here is an optimized crystal structure of RbBaRh2 from Alexandria via LeMat-Bulk. Energies are from GGA-PBE.

Cell: 5.291 5.291 5.291 Å, 60.00 60.00 60.00°
Element x y z (fractional)
Rh 0.750 0.750 0.750
Rh 0.250 0.250 0.250
Ba 0.500 0.500 0.500
Rb 0.000 0.000 0.000

Calculated values
Energy of formation in eV per atom: 0.693
Energy above the most stable polymorph in this dataset in meV per atom: 0
DOS at the Fermi energy in states/eV per atom: 1.07
Symmetry: Fm-3m



(3)
Here is an optimized crystal structure of RbSbP from Alexandria via LeMat-Bulk. Energies are from GGA-PBE.

Cell: 3.861 7.350 8.304 Å, 77.87 89.82 75.04°
Element x y z (fractional)
Rb 0.265 0.294 0.767
Rb 0.469 0.894 0.344
P 0.064 0.713 0.052
P 0.221 0.394 0.151
Sb 0.737 0.358 0.363
Sb 0.550 0.744 0.840

Calculated values
Energy above the most stable polymorph in this dataset in meV per atom: 19
Symmetry: P1



(4)
Here is an optimized crystal structure of CrOsI3 from Alexandria via LeMat-Bulk. Energies are from GGA-PBE.

Cell: 5.447 5.447 5.447 Å, 90.00 90.00 90.00°
Element x y z (fractional)
Os 0.000 0.000 0.000
I 0.000 0.500 0.000
I 0.500 0.000 0.000
I 0.000 0.000 0.500
Cr 0.500 0.500 0.500

Calculated values
Energy above the most stable polymorph in this dataset in meV per atom: 0
DOS at the Fermi energy in states/eV per atom: 1.22
Symmetry: Pm-3m